Density functional theory data (GGA-PBE) for K3Pa3AgSe8 after structural relaxation.

Geometry as POSCAR:
```
K3Pa3AgSe8
1.0
-0.293 -6.223 5.574
-2.612 -1.277 -7.831
9.031 0.754 1.316
K Pa Ag Se
3 3 1 8
Direct
0.000 0.000 0.000
0.000 0.500 0.000
0.500 0.500 0.000
0.500 0.000 0.500
0.500 0.500 0.500
0.000 0.500 0.500
0.000 0.000 0.500
0.263 0.527 0.290
0.737 0.473 0.710
0.758 0.516 0.296
0.242 0.484 0.704
0.757 0.038 0.296
0.243 0.962 0.704
0.281 0.038 0.296
0.719 0.962 0.704
```

Theoretical density: 5468 kg/m3
Calculated volume: 31.38 Å³ per atom
Formation energy (no corrections): -28.2 kcal/mol of atoms